The following is a DFT calculation (SCAN) of a PBEsol-optimized structure of LaTlSiAg2.

For the final energy, the calculation gives -36.974 eV per atom.

Unit cell a=5.030 b=5.030 c=5.942 alpha=90.00 beta=90.00 gamma=90.00
Positions (direct):
La (0.000, 0.000, 0.000)
Tl (0.000, 0.000, 0.500)
Si (0.500, 0.500, 0.000)
Ag (0.000, 0.500, 0.500)
Ag (0.500, 0.000, 0.500)

***

The following is a DFT calculation (SCAN) of a PBEsol-optimized structure of Ta2AuSe.

For the final energy, the calculation gives -55.700 eV per atom.

Unit cell a=3.028 b=3.028 c=7.878 alpha=90.00 beta=90.00 gamma=90.00
Positions (direct):
Ta (0.000, 0.000, 0.000)
Ta (0.500, 0.500, 0.271)
Au (0.000, 0.000, 0.508)
Se (0.500, 0.500, 0.807)

***

The following is a DFT calculation (SCAN) of a PBEsol-optimized structure of CrReAg.

The energy of formation from the pure elements comes out at 537 meV per atom.

Unit cell a=4.330 b=4.330 c=2.601 alpha=90.00 beta=90.00 gamma=120.00
Positions (direct):
Cr (0.000, 0.000, 0.000)
Re (0.667, 0.333, 0.231)
Ag (0.333, 0.667, 0.658)

***

The following is a DFT calculation (SCAN) of a PBEsol-optimized structure of EuAl2Zn2.

The energy of formation from the pure elements comes out at -419 meV per atom.

Unit cell a=6.242 b=6.242 c=6.242 alpha=141.20 beta=141.20 gamma=56.03
Positions (direct):
Eu (0.000, 0.000, 0.000)
Al (0.250, 0.750, 0.500)
Al (0.750, 0.250, 0.500)
Zn (0.389, 0.389, 0.000)
Zn (0.611, 0.611, 0.000)

***

| no. | DOS(E_F) (states/eV/cell) |
| --- | --- |
| 1 | 3.32 |
| 2 | 1.61 |
| 3 | 1.09 |
| 4 | 9.00 |